No. 1
The following is a GGA-PBE calculation of a geometry-optimized VAu3S structure, from Alexandria.

## Properties
Offset from the most stable computed form (kJ/mol of formula units): 0
Total magnetization (μB/f.u.): 3.73
Space-group type: No. 221

a b c (Å): 4.755 4.755 4.755
angles (deg): 90.00 90.00 90.00
Element x y z (fractional)
V 0.000 0.000 0.000
Au 0.000 0.500 0.500
Au 0.500 0.000 0.500
Au 0.500 0.500 0.000
S 0.500 0.500 0.500



No. 2
The following is a GGA-PBE calculation of a geometry-optimized MnIn2Br structure, from Alexandria.

## Properties
Offset from the most stable computed form (kJ/mol of formula units): 88
Total magnetization (μB/f.u.): 4.35
Space-group type: No. 139

a b c (Å): 4.422 4.422 10.247
angles (deg): 90.00 90.00 90.00
Element x y z (fractional)
Mn 0.000 0.000 0.000
Mn 0.500 0.500 0.500
In 0.000 0.500 0.250
In 0.000 0.500 0.750
In 0.500 0.000 0.250
In 0.500 0.000 0.750
Br 0.000 0.000 0.500
Br 0.500 0.500 0.000



No. 3
The following is a GGA-PBE calculation of a geometry-optimized Hf3BiPb structure, from Alexandria.

## Properties
Offset from the most stable computed form (kJ/mol of formula units): 539
Total magnetization (μB/f.u.): 0.00
Calculated formation energy (meV per atom): 1200.6
Space-group type: No. 221

a b c (Å): 5.347 5.347 5.347
angles (deg): 90.00 90.00 90.00
Element x y z (fractional)
Hf 0.000 0.000 0.500
Hf 0.000 0.500 0.000
Hf 0.500 0.000 0.000
Bi 0.500 0.500 0.500
Pb 0.000 0.000 0.000



No. 4
The following is a GGA-PBE calculation of a geometry-optimized BaReAu2 structure, from Alexandria.

## Properties
Offset from the most stable computed form (kJ/mol of formula units): 136
Total magnetization (μB/f.u.): 0.00
Calculated formation energy (meV per atom): 583.0
Space-group type: No. 8

a b c (Å): 10.427 3.084 6.313
angles (deg): 90.00 110.02 90.00
Element x y z (fractional)
Ba 0.000 0.000 0.000
Ba 0.500 0.500 0.000
Re 0.250 0.500 0.414
Re 0.750 0.000 0.414
Au 0.209 0.000 0.735
Au 0.472 0.000 0.446
Au 0.709 0.500 0.735
Au 0.972 0.500 0.446



No. 5
The following is a GGA-PBE calculation of a geometry-optimized YBeRhAu2 structure, from Alexandria.

## Properties
Offset from the most stable computed form (kJ/mol of formula units): 0
Total magnetization (μB/f.u.): 0.00
Calculated formation energy (meV per atom): -456.1
Space-group type: No. 123

a b c (Å): 4.493 4.493 4.387
angles (deg): 90.00 90.00 90.00
Element x y z (fractional)
Y 0.000 0.000 0.000
Be 0.500 0.500 0.500
Rh 0.500 0.500 0.000
Au 0.000 0.500 0.500
Au 0.500 0.000 0.500



No. 6
The following is a GGA-PBE calculation of a geometry-optimized Cs3Pm3CrSe8 structure, from Alexandria.

## Properties
Total DFT energy (no corrections) (eV/atom): -5.010
Total magnetization (μB/f.u.): 2.17
Space-group type: No. 166

a b c (Å): 9.883 9.883 9.883
angles (deg): 50.11 50.11 50.11
Element x y z (fractional)
Cs 0.000 0.500 0.500
Cs 0.500 0.000 0.500
Cs 0.500 0.500 0.000
Pm 0.000 0.000 0.500
Pm 0.000 0.500 0.000
Pm 0.500 0.000 0.000
Cr 0.500 0.500 0.500
Se 0.231 0.231 0.231
Se 0.259 0.707 0.707
Se 0.293 0.293 0.741
Se 0.293 0.741 0.293
Se 0.707 0.259 0.707
Se 0.707 0.707 0.259
Se 0.741 0.293 0.293
Se 0.769 0.769 0.769



No. 7
The following is a GGA-PBE calculation of a geometry-optimized Te2PBr structure, from Alexandria.

## Properties
Offset from the most stable computed form (kJ/mol of formula units): 134
Total magnetization (μB/f.u.): 0.00
Space-group type: No. 10

a b c (Å): 4.259 4.206 6.095
angles (deg): 90.00 90.72 90.00
Element x y z (fractional)
Te 0.000 0.000 0.000
Te 0.500 0.500 0.500
P 0.000 0.000 0.500
Br 0.500 0.500 0.000